No. 1
Density functional theory data (PBE-GGA) for AcPr2SbO8 after structural relaxation.

Properties
Space group = P-1, No. 2
Total DFT energy (no corrections) = -7.2260 eV per atom

```
AcPr2SbO8
1.0
4.491 -0.005 -0.004
0.056 5.573 -0.009
-0.002 0.001 7.394
O Sb Pr Ac
8 1 2 1
Direct
0.463 0.257 0.500
0.942 0.245 0.803
0.578 0.882 0.000
0.057 0.754 0.802
0.537 0.743 0.500
0.422 0.118 0.000
0.943 0.246 0.198
0.058 0.755 0.197
0.000 0.000 0.000
0.499 0.499 0.253
0.501 0.501 0.747
0.000 0.000 0.500
```

No. 2
Density functional theory data (PBE-GGA) for Hg6Pd8Pt after structural relaxation.

Properties
ΔH_f (0 K) = 8 meV/atom
Space group = R-3, No. 148
Total DFT energy (no corrections) = -3.2845 eV per atom

```
Hg6Pd8Pt
1.0
-5.799 4.006 -2.810
-7.133 -2.261 1.254
-4.462 3.686 4.219
Pd Hg Pt
8 6 1
Direct
0.100 0.356 0.650
0.107 0.900 0.350
0.644 0.107 0.350
0.258 0.258 0.226
0.742 0.742 0.774
0.900 0.644 0.350
0.356 0.893 0.650
0.893 0.100 0.650
0.856 0.379 0.199
0.144 0.621 0.801
0.621 0.433 0.801
0.433 0.144 0.801
0.567 0.856 0.199
0.379 0.567 0.199
0.000 0.000 0.000
```

No. 3
Density functional theory data (PBE-GGA) for TbPr2Ge2 after structural relaxation.

Properties
ΔH_f (0 K) = -766 meV/atom
Space group = P4/mbm, No. 127
Total DFT energy (no corrections) = -5.4503 eV per atom
Distance to the lowest polymorph of the same formula = 0 meV/atom

```
TbPr2Ge2
1.0
-3.932 -1.659 1.263
2.481 -0.273 7.364
-2.667 7.210 1.166
Pr Tb Ge
4 2 4
Direct
0.500 0.175 0.675
0.500 0.675 0.825
0.500 0.825 0.325
0.500 0.325 0.175
0.000 0.000 0.000
0.000 0.500 0.500
0.000 0.879 0.621
0.000 0.621 0.121
0.000 0.379 0.879
0.000 0.121 0.379
```

No. 4
Density functional theory data (PBE-GGA) for BeMoPd after structural relaxation.

Properties
ΔH_f (0 K) = -218 meV/atom
Space group = Pmmm, No. 47
Total DFT energy (no corrections) = -6.8011 eV per atom
Distance to the lowest polymorph of the same formula = 22 meV/atom

```
BeMoPd
1.0
-1.285 6.310 8.078
-2.615 -0.758 0.176
0.703 -2.032 1.699
Pd Be Mo
2 2 2
Direct
0.569 0.961 0.154
0.287 0.961 0.155
0.928 0.961 0.155
0.428 0.461 0.656
0.771 0.461 0.654
0.085 0.461 0.655
```

No. 5
Density functional theory data (PBE-GGA) for Sm3YTh after structural relaxation.

Properties
ΔH_f (0 K) = 402 meV/atom
Space group = R-3, No. 148
Total DFT energy (no corrections) = -5.2062 eV per atom
Distance to the lowest polymorph of the same formula = 211 meV/atom

```
Sm3YTh
1.0
6.174 0.000 0.000
3.087 5.347 0.000
3.087 1.782 11.167
Sm Y Th
6 2 2
Direct
0.585 0.915 0.247
0.915 0.253 0.247
0.085 0.747 0.753
0.747 0.415 0.753
0.253 0.585 0.247
0.415 0.085 0.753
0.834 0.834 0.497
0.166 0.166 0.503
0.666 0.666 0.003
0.334 0.334 0.997
```

No. 6
Density functional theory data (PBE-GGA) for ZrTi3Zn after structural relaxation.

Properties
ΔH_f (0 K) = -51 meV/atom
Space group = P-1, No. 2
Total DFT energy (no corrections) = -6.7528 eV per atom
Distance to the lowest polymorph of the same formula = 9 meV/atom

```
ZrTi3Zn
1.0
5.268 0.695 0.233
0.958 6.776 1.274
-0.174 -2.402 4.684
Ti Zr Zn
6 2 2
Direct
0.610 0.299 0.812
0.309 0.651 0.663
0.155 0.405 0.183
0.691 0.348 0.337
0.845 0.595 0.817
0.390 0.701 0.188
0.176 0.149 0.567
0.824 0.851 0.433
0.000 0.000 0.000
0.500 0.000 0.000
```

No. 7
Density functional theory data (PBE-GGA) for Sm2USb3 after structural relaxation.

Properties
Space group = Fmmm, No. 69
Total DFT energy (no corrections) = -6.3555 eV per atom

```
Sm2USb3
1.0
-2.109 2.507 3.000
0.184 -3.336 2.928
9.224 3.618 0.166
Sm U Sb
2 1 3
Direct
0.102 0.103 0.209
0.767 0.768 0.539
0.434 0.436 0.874
0.270 0.271 0.545
0.934 0.936 0.874
0.599 0.600 0.203
```

No. 8
Density functional theory data (PBE-GGA) for Pm2Co12As7 after structural relaxation.

Properties
ΔH_f (0 K) = -450 meV/atom
Space group = P-6, No. 174
Total DFT energy (no corrections) = -6.5131 eV per atom

```
Pm2Co12As7
1.0
3.775 0.000 0.000
0.000 8.136 -4.697
0.000 0.000 9.394
Co As Pm
12 7 2
Direct
0.000 0.767 0.724
0.000 0.058 0.543
0.500 0.712 0.096
0.500 0.556 0.767
0.500 0.211 0.444
0.000 0.485 0.942
0.000 0.957 0.233
0.000 0.457 0.515
0.500 0.904 0.616
0.500 0.233 0.789
0.000 0.276 0.043
0.500 0.384 0.288
0.000 0.738 0.959
0.500 0.627 0.558
0.000 0.333 0.667
0.000 0.221 0.262
0.500 0.931 0.373
0.500 0.442 0.069
0.000 0.041 0.779
0.500 0.000 0.000
0.000 0.667 0.333
```

Values for M_tot, μB/f.u., ordered as above
0.0 0.0 0.0 0.0 0.0 0.0 2.6 6.4
Values for N(E_F), states/eV/atom, ordered as above
0.00 0.46 0.96 0.48 1.57 1.39 1.00 0.63